1.
Ca2Al2Pb (PBE-GGA, optimized geometry); total magnetic moment = 0.000 μB/atom; formation energy from the elements = 8 kJ/mol of atoms; symmetry = I4/mmm, No. 139; E = -2.953 eV/atom
1.0
-3.080 2.352 -2.928
-2.234 -4.191 -1.017
-6.638 0.005 2.959
Ca Al Pb
2 2 1
direct
0.250 0.750 0.500 Ca
0.750 0.250 0.500 Ca
0.405 0.405 0.190 Al
0.595 0.595 0.810 Al
0.000 0.000 0.000 Pb


2.
NaNd3 (PBE-GGA, optimized geometry); total magnetic moment = 0.000 μB/atom; formation energy from the elements = 16 kJ/mol of atoms; symmetry = Imm2, No. 44; offset from the most stable computed form = 0.000 eV per atom; E = -3.736 eV/atom
1.0
-3.628 -0.745 0.464
1.234 -6.104 -0.153
1.953 3.429 5.763
Nd Na
3 1
direct
0.500 0.469 0.000 Nd
0.748 0.107 0.495 Nd
0.252 0.612 0.505 Nd
0.000 0.979 0.000 Na


Q: The highest formation energy from the elements belongs to which entry?
A: NaNd3


Q: The lowest E belongs to which entry?
A: NaNd3


Q: Among the records above, which one has the lowest formation energy from the elements?
A: Ca2Al2Pb


Q: Which value of formation energy from the elements does entry 1 give?
A: 8 kJ/mol of atoms